Entry 1:
The following is a GGA-PBE calculation of TcSnHF after structural relaxation, from Alexandria.

a b c (Å): 2.885 3.363 6.904
angles (deg): 90.34 94.17 116.17
Fractional coordinates of all 4 atoms:
Tc 0.482 0.378 0.127
Sn 0.728 0.976 0.796
H 0.179 0.773 0.083
F 0.007 0.348 0.353

Output
* SG: P1
* density: 6563 kg/m³
* ΔE to the lowest computed polymorph: 0.103 eV per atom
* energy: -5.20 eV per atom

Entry 2:
The following is a GGA-PBE calculation of B2C after structural relaxation, from Alexandria.

a b c (Å): 7.279 7.279 4.541
angles (deg): 75.40 75.40 20.92
Fractional coordinates of all 12 atoms:
B 0.340 0.340 0.320
B 0.291 0.291 0.989
B 0.173 0.173 0.135
B 0.104 0.104 0.828
B 0.984 0.984 0.658
B 0.865 0.865 0.897
B 0.778 0.778 0.620
B 0.615 0.615 0.402
C 0.983 0.983 0.015
C 0.660 0.660 0.703
C 0.501 0.501 0.475
C 0.457 0.457 0.208

Output
* SG: Cm
* formation energy: 0.5001 eV per atom
* density: 2691 kg/m³
* ΔE to the lowest computed polymorph: 0.315 eV per atom
* energy: -7.03 eV per atom